## Rb2Tl5Au (PBE-GGA)

Data for crystalline Rb2Tl5Au at its relaxed geometry.

Summary:
ΔE_f	-102	meV per atom
Fermi-level density of states	0.5968	states/eV per atom

Cell and atoms, written as extended XYZ:
```
16
Lattice="-1.4521 0.4090 5.1267 -8.5484 -1.7933 -5.0634 1.5092 -10.8431 1.2925" Properties=species:S:1:pos:R:3 pbc="T T T"
Au -1.4887 -2.7016 2.5792
Au -7.0025 -9.5259 -1.2234
Tl -5.0449 -11.6221 -0.5017
Tl -1.2071 -8.2042 3.0979
Tl -3.4464 -0.6054 1.8575
Tl -6.3851 -1.9773 1.1346
Tl -5.7060 -6.8721 -1.0679
Tl -5.9601 -5.0306 1.4985
Tl -2.5311 -7.1968 -0.1428
Tl -7.2842 -4.0233 -1.7422
Tl -2.1062 -10.2501 0.2212
Tl -2.7853 -5.3553 2.4236
Rb 0.7546 -5.4216 0.6462
Rb 0.0000 0.0000 0.0000
Rb -3.2058 -3.3246 -0.6428
Rb -5.2854 -8.9028 1.9985
```

## HgSb2S (PBE-GGA)

Data for crystalline HgSb2S at its relaxed geometry.

Summary:
Fermi-level density of states	0.2680	states/eV per atom

Cell and atoms, written as extended XYZ:
```
8
Lattice="5.0507 0.0000 0.0000 0.0000 5.0507 0.0000 2.5254 2.5254 9.3449" Properties=species:S:1:pos:R:3 pbc="T T T"
S 2.5254 2.5254 0.0000
S 2.5254 5.0507 4.6725
Sb 6.3134 5.8734 7.0087
Sb 1.7027 3.7881 2.3362
Sb 3.3480 1.2627 2.3362
Sb 3.7881 4.2281 7.0087
Hg 0.0000 0.0000 0.0000
Hg 5.0507 2.5254 4.6725
```

## HfBeCl2 (PBE-GGA)

Data for crystalline HfBeCl2 at its relaxed geometry.

Summary:
Fermi-level density of states	0.7163	states/eV per atom

Cell and atoms, written as extended XYZ:
```
4
Lattice="-3.2036 -1.5974 2.7430 -3.3749 2.6810 1.3271 -4.1734 -0.6852 -1.5659" Properties=species:S:1:pos:R:3 pbc="T T T"
Be 0.0000 0.0000 0.0000
Cl -8.0639 0.2988 1.8781
Cl -2.6880 0.0996 0.6260
Hf -5.3759 0.1992 1.2521
```

no.,total magnetic moment (μB/cell),density (g/cm³),offset from the most stable computed form (eV/atom)
1,0.00,8.0,0.000
2,0.00,6.6,0.000
3,0.00,6.6,0.533